# Tb2YZrS4

A geometry-optimized Tb2YZrS4 structure (PBE-GGA, Alexandria via LeMat-Bulk).

The theoretical density is 6.4 g cm⁻³. As for the total magnetic moment: 0.0 μB/f.u. The calculation puts the total energy at -6.931 eV per atom. The calculation puts the calculated volume at 20.46 Å³ per atom. As for the density of states at the Fermi level: 3.5 states/eV/cell. Its uncorrected formation energy is -1415 kJ/mol of formula units.

Geometry as POSCAR:
```
Tb2YZrS4
1.0
3.878 0.000 0.000
0.000 6.695 0.098
0.000 -2.353 6.269
Tb S Zr Y
2 4 1 1
Direct
0.000 0.500 0.500 Tb
0.500 0.000 0.500 Tb
0.000 0.258 0.758 S
0.500 0.747 0.755 S
0.000 0.742 0.242 S
0.500 0.253 0.245 S
0.500 0.500 0.000 Zr
0.000 0.000 0.000 Y
```